Entry 1:
Computed, not measured: a relaxed ScOs crystal at the GGA-PBE level of DFT.

Cell: 5.174 5.174 5.174 Å, 90.00 90.00 90.00°
Fractional coordinates of all 8 atoms:
Sc1 0.094 0.094 0.094
Sc2 0.406 0.906 0.594
Sc3 0.594 0.406 0.906
Sc4 0.906 0.594 0.406
Os1 0.104 0.604 0.896
Os2 0.396 0.396 0.396
Os3 0.604 0.896 0.104
Os4 0.896 0.104 0.604

* energy of formation: -0.008 eV per atom
* magnetic moment: 0.00 μB/f.u.
* energy: -70.31 eV/cell
* space group: P2_13 (198)
* Fermi-level density of states: 11.93 states/eV per cell


Entry 2:
Computed, not measured: a relaxed TiBe2Rh crystal at the GGA-PBE level of DFT.

Cell: 2.720 4.249 9.576 Å, 90.00 90.00 90.00°
Fractional coordinates of all 8 atoms:
Ti1 0.000 0.000 0.000
Ti2 0.500 0.500 0.500
Be1 0.000 0.000 0.270
Be2 0.000 0.000 0.730
Be3 0.500 0.500 0.230
Be4 0.500 0.500 0.770
Rh1 0.000 0.000 0.500
Rh2 0.500 0.500 0.000

* energy of formation: 0.288 eV per atom
* magnetic moment: 0.41 μB/f.u.
* energy: -43.09 eV/cell
* space group: Immm (71)
* Fermi-level density of states: 6.32 states/eV per cell


Entry 3:
Computed, not measured: a relaxed Ac4Ag2IrRh crystal at the GGA-PBE level of DFT.

Cell: 7.610 4.361 8.135 Å, 90.00 107.90 90.00°
Fractional coordinates of all 8 atoms:
Ac1 0.234 0.000 0.210
Ac2 0.263 0.500 0.790
Ac3 0.737 0.500 0.210
Ac4 0.766 0.000 0.790
Ag1 0.000 0.000 0.500
Ag2 0.500 0.500 0.500
Ir1 0.000 0.500 0.000
Rh1 0.500 0.000 0.000

* energy of formation: -0.490 eV per atom
* magnetic moment: 0.00 μB/f.u.
* energy: -42.27 eV/cell
* space group: P2/m (10)
* Fermi-level density of states: 3.05 states/eV per cell


Entry 4:
Computed, not measured: a relaxed NaPm2Au2 crystal at the GGA-PBE level of DFT.

Cell: 8.357 8.357 3.814 Å, 90.00 90.00 90.00°
Fractional coordinates of all 10 atoms:
Na1 0.000 0.000 0.000
Na2 0.500 0.500 0.000
Pm1 0.159 0.341 0.500
Pm2 0.341 0.841 0.500
Pm3 0.659 0.159 0.500
Pm4 0.841 0.659 0.500
Au1 0.134 0.634 0.000
Au2 0.366 0.134 0.000
Au3 0.634 0.866 0.000
Au4 0.866 0.366 0.000

* energy of formation: -0.601 eV per atom
* magnetic moment: 0.00 μB/f.u.
* energy: -40.76 eV/cell
* space group: P4/mbm (127)
* Fermi-level density of states: 6.64 states/eV per cell


Entry 5:
Computed, not measured: a relaxed K12RbNa4 crystal at the GGA-PBE level of DFT.

Cell: 11.639 11.639 11.639 Å, 109.47 109.47 109.47°
Fractional coordinates of all 17 atoms:
K1 0.163 0.338 0.501
K2 0.163 0.662 0.825
K3 0.175 0.837 0.338
K4 0.338 0.175 0.837
K5 0.338 0.501 0.163
K6 0.499 0.837 0.662
K7 0.501 0.163 0.338
K8 0.662 0.499 0.837
K9 0.662 0.825 0.163
K10 0.825 0.163 0.662
K11 0.837 0.338 0.175
K12 0.837 0.662 0.499
Rb1 0.000 0.000 0.000
Na1 0.000 0.000 0.500
Na2 0.000 0.500 0.000
Na3 0.500 0.000 0.000
Na4 0.500 0.500 0.500

* energy of formation: 0.100 eV per atom
* magnetic moment: 0.00 μB/f.u.
* energy: -17.71 eV/cell
* space group: Im-3 (204)
* Fermi-level density of states: 14.35 states/eV per cell


Entry 6:
Computed, not measured: a relaxed Ba2SrCa2Tl5 crystal at the GGA-PBE level of DFT.

Cell: 12.919 12.919 4.299 Å, 90.00 90.00 90.00°
Fractional coordinates of all 20 atoms:
Ba1 0.173 0.327 0.000
Ba2 0.327 0.827 0.000
Ba3 0.673 0.173 0.000
Ba4 0.827 0.673 0.000
Sr1 0.000 0.000 0.000
Sr2 0.500 0.500 0.000
Ca1 0.126 0.626 0.000
Ca2 0.374 0.126 0.000
Ca3 0.626 0.874 0.000
Ca4 0.874 0.374 0.000
Tl1 0.000 0.500 0.500
Tl2 0.067 0.805 0.500
Tl3 0.195 0.067 0.500
Tl4 0.305 0.567 0.500
Tl5 0.433 0.305 0.500
Tl6 0.500 0.000 0.500
Tl7 0.567 0.695 0.500
Tl8 0.695 0.433 0.500
Tl9 0.805 0.933 0.500
Tl10 0.933 0.195 0.500

* energy of formation: -0.327 eV per atom
* magnetic moment: 0.00 μB/f.u.
* energy: -49.26 eV/cell
* space group: P4/mbm (127)
* Fermi-level density of states: 12.76 states/eV per cell